First-principles (PBE) data for a geometry-optimized RbAgGeRh structure, as listed in Alexandria via LeMat-Bulk.

Computed properties:
* theoretical density: 5.665 g/cm3
* energy of formation from the pure elements: -221 meV per atom
* final energy: -33.3 eV per cell
* V: 216 Å³ per cell

a = 4.0519 Å, b = 4.0519 Å, c = 13.1713 Å
α = 90.00°, β = 90.00°, γ = 90.00°
Closest atoms and distances in Å follow each position.
Atoms (fractional coordinates):
Rb: 0.2500 0.2500 0.7373  4 Ge 3.54, 4 Ag 3.72
Rb: 0.7500 0.7500 0.2627  4 Ge 3.54, 4 Ag 3.72
Ge: 0.7500 0.7500 0.8950  4 Rh 2.45
Ge: 0.2500 0.2500 0.1050  4 Rh 2.45
Rh: 0.7500 0.2500 0.0000  4 Ge 2.45
Rh: 0.2500 0.7500 0.0000  4 Ge 2.45
Ag: 0.7500 0.2500 0.5000  4 Ag 2.87
Ag: 0.2500 0.7500 0.5000  4 Ag 2.87